Entry 1:
Entry from Alexandria: crystalline Gd2ThCd at its relaxed geometry (PBE).

The spin magnetization is 3.81 μB/atom. The space group is P4/mmm, No. 123. The relative energy among the computed polymorphs comes out at 114.0 meV/atom.

Lattice parameters (Å, degrees): 4.894 4.894 4.915 90.00 90.00 90.00
Fractional coordinates of all 4 atoms:
Gd  0.000  0.500  0.000
Gd  0.500  0.000  0.000
Th  0.000  0.000  0.500
Cd  0.500  0.500  0.500

=====

Entry 2:
Entry from Alexandria: crystalline GdThTlCd at its relaxed geometry (PBE).

The spin magnetization is 1.81 μB/atom. The space group is F-43m, No. 216.

Lattice parameters (Å, degrees): 7.684 7.684 7.684 90.00 90.00 90.00
Fractional coordinates of all 16 atoms:
Gd  0.000  0.000  0.000
Gd  0.000  0.500  0.500
Gd  0.500  0.000  0.500
Gd  0.500  0.500  0.000
Th  0.000  0.000  0.500
Th  0.000  0.500  0.000
Th  0.500  0.000  0.000
Th  0.500  0.500  0.500
Tl  0.250  0.250  0.250
Tl  0.250  0.750  0.750
Tl  0.750  0.250  0.750
Tl  0.750  0.750  0.250
Cd  0.250  0.250  0.750
Cd  0.250  0.750  0.250
Cd  0.750  0.250  0.250
Cd  0.750  0.750  0.750

=====

Entry 3:
Entry from Alexandria: crystalline GdThZnCd at its relaxed geometry (PBE).

The spin magnetization is 2.00 μB/atom. The space group is F-43m, No. 216.

Lattice parameters (Å, degrees): 7.482 7.482 7.482 90.00 90.00 90.00
Fractional coordinates of all 16 atoms:
Gd  0.000  0.000  0.000
Gd  0.000  0.500  0.500
Gd  0.500  0.000  0.500
Gd  0.500  0.500  0.000
Th  0.000  0.000  0.500
Th  0.000  0.500  0.000
Th  0.500  0.000  0.000
Th  0.500  0.500  0.500
Zn  0.250  0.250  0.250
Zn  0.250  0.750  0.750
Zn  0.750  0.250  0.750
Zn  0.750  0.750  0.250
Cd  0.250  0.250  0.750
Cd  0.250  0.750  0.250
Cd  0.750  0.250  0.250
Cd  0.750  0.750  0.750

=====

Entry 4:
Entry from Alexandria: crystalline GdTiTlCd at its relaxed geometry (PBE).

The spin magnetization is 2.22 μB/atom. The space group is F-43m, No. 216.

Lattice parameters (Å, degrees): 7.250 7.250 7.250 90.00 90.00 90.00
Fractional coordinates of all 16 atoms:
Gd  0.000  0.000  0.000
Gd  0.000  0.500  0.500
Gd  0.500  0.000  0.500
Gd  0.500  0.500  0.000
Ti  0.000  0.000  0.500
Ti  0.000  0.500  0.000
Ti  0.500  0.000  0.000
Ti  0.500  0.500  0.500
Tl  0.250  0.250  0.250
Tl  0.250  0.750  0.750
Tl  0.750  0.250  0.750
Tl  0.750  0.750  0.250
Cd  0.250  0.250  0.750
Cd  0.250  0.750  0.250
Cd  0.750  0.250  0.250
Cd  0.750  0.750  0.750

=====

Entry 5:
Entry from Alexandria: crystalline GdTmTiCd at its relaxed geometry (PBE).

The spin magnetization is 1.22 μB/atom. The space group is F-43m, No. 216.

Lattice parameters (Å, degrees): 7.377 7.377 7.377 90.00 90.00 90.00
Fractional coordinates of all 16 atoms:
Gd  0.000  0.000  0.000
Gd  0.000  0.500  0.500
Gd  0.500  0.000  0.500
Gd  0.500  0.500  0.000
Tm  0.000  0.000  0.500
Tm  0.000  0.500  0.000
Tm  0.500  0.000  0.000
Tm  0.500  0.500  0.500
Ti  0.250  0.250  0.750
Ti  0.250  0.750  0.250
Ti  0.750  0.250  0.250
Ti  0.750  0.750  0.750
Cd  0.250  0.250  0.250
Cd  0.250  0.750  0.750
Cd  0.750  0.250  0.750
Cd  0.750  0.750  0.250

=====

Entry 6:
Entry from Alexandria: crystalline GdTiZnCd at its relaxed geometry (PBE).

The spin magnetization is 2.17 μB/atom. The space group is F-43m, No. 216.

Lattice parameters (Å, degrees): 7.005 7.005 7.005 90.00 90.00 90.00
Fractional coordinates of all 16 atoms:
Gd  0.000  0.000  0.000
Gd  0.000  0.500  0.500
Gd  0.500  0.000  0.500
Gd  0.500  0.500  0.000
Ti  0.000  0.000  0.500
Ti  0.000  0.500  0.000
Ti  0.500  0.000  0.000
Ti  0.500  0.500  0.500
Zn  0.250  0.250  0.250
Zn  0.250  0.750  0.750
Zn  0.750  0.250  0.750
Zn  0.750  0.750  0.250
Cd  0.250  0.250  0.750
Cd  0.250  0.750  0.250
Cd  0.750  0.250  0.250
Cd  0.750  0.750  0.750

=====

Entry 7:
Entry from Alexandria: crystalline GdTlCd4 at its relaxed geometry (PBE).

The spin magnetization is 1.24 μB/atom. The space group is F-43m, No. 216.

Lattice parameters (Å, degrees): 5.997 5.997 5.997 60.00 60.00 60.00
Fractional coordinates of all 6 atoms:
Gd  0.000  0.000  0.000
Tl  0.250  0.250  0.250
Cd  0.124  0.625  0.625
Cd  0.625  0.124  0.625
Cd  0.625  0.625  0.124
Cd  0.625  0.625  0.625

=====

Entry 8:
Entry from Alexandria: crystalline GdTmTlCd at its relaxed geometry (PBE).

The spin magnetization is 1.95 μB/atom. The space group is F-43m, No. 216.

Lattice parameters (Å, degrees): 7.520 7.520 7.520 90.00 90.00 90.00
Fractional coordinates of all 16 atoms:
Gd  0.000  0.000  0.000
Gd  0.000  0.500  0.500
Gd  0.500  0.000  0.500
Gd  0.500  0.500  0.000
Tm  0.000  0.000  0.500
Tm  0.000  0.500  0.000
Tm  0.500  0.000  0.000
Tm  0.500  0.500  0.500
Tl  0.250  0.250  0.250
Tl  0.250  0.750  0.750
Tl  0.750  0.250  0.750
Tl  0.750  0.750  0.250
Cd  0.250  0.250  0.750
Cd  0.250  0.750  0.250
Cd  0.750  0.250  0.250
Cd  0.750  0.750  0.750

=====

Entry 9:
Entry from Alexandria: crystalline GdYTlCd at its relaxed geometry (PBE).

The spin magnetization is 1.98 μB/atom. The space group is F-43m, No. 216.

Lattice parameters (Å, degrees): 7.570 7.570 7.570 90.00 90.00 90.00
Fractional coordinates of all 16 atoms:
Gd  0.000  0.000  0.000
Gd  0.000  0.500  0.500
Gd  0.500  0.000  0.500
Gd  0.500  0.500  0.000
Y  0.000  0.000  0.500
Y  0.000  0.500  0.000
Y  0.500  0.000  0.000
Y  0.500  0.500  0.500
Tl  0.250  0.250  0.250
Tl  0.250  0.750  0.750
Tl  0.750  0.250  0.750
Tl  0.750  0.750  0.250
Cd  0.250  0.250  0.750
Cd  0.250  0.750  0.250
Cd  0.750  0.250  0.250
Cd  0.750  0.750  0.750

=====

Entry 10:
Entry from Alexandria: crystalline GdZrTlCd at its relaxed geometry (PBE).

The spin magnetization is 1.77 μB/atom. The space group is F-43m, No. 216.

Lattice parameters (Å, degrees): 7.345 7.345 7.345 90.00 90.00 90.00
Fractional coordinates of all 16 atoms:
Gd  0.000  0.000  0.000
Gd  0.000  0.500  0.500
Gd  0.500  0.000  0.500
Gd  0.500  0.500  0.000
Zr  0.000  0.000  0.500
Zr  0.000  0.500  0.000
Zr  0.500  0.000  0.000
Zr  0.500  0.500  0.500
Tl  0.250  0.250  0.250
Tl  0.250  0.750  0.750
Tl  0.750  0.250  0.750
Tl  0.750  0.750  0.250
Cd  0.250  0.250  0.750
Cd  0.250  0.750  0.250
Cd  0.750  0.250  0.250
Cd  0.750  0.750  0.750

=====

Entry 11:
Entry from Alexandria: crystalline GdTmCd at its relaxed geometry (PBE).

The spin magnetization is 2.74 μB/atom. The space group is I4mm, No. 107. The relative energy among the computed polymorphs comes out at 364.5 meV/atom.

Lattice parameters (Å, degrees): 3.348 3.348 17.760 90.00 90.00 90.00
Fractional coordinates of all 6 atoms:
Gd  0.000  0.000  0.000
Gd  0.500  0.500  0.500
Tm  0.000  0.000  0.640
Tm  0.500  0.500  0.140
Cd  0.000  0.000  0.817
Cd  0.500  0.500  0.317

=====

Entry 12:
Entry from Alexandria: crystalline Gd2TmCd at its relaxed geometry (PBE).

The spin magnetization is 3.74 μB/atom. The space group is P4/mmm, No. 123. The relative energy among the computed polymorphs comes out at 61.7 meV/atom.

Lattice parameters (Å, degrees): 5.499 5.499 3.811 90.00 90.00 90.00
Fractional coordinates of all 4 atoms:
Gd  0.000  0.500  0.000
Gd  0.500  0.000  0.000
Tm  0.000  0.000  0.500
Cd  0.500  0.500  0.500

=====

Entry 13:
Entry from Alexandria: crystalline GdTmCd at its relaxed geometry (PBE).

The spin magnetization is 2.46 μB/atom. The space group is P3m1, No. 156. The relative energy among the computed polymorphs comes out at 0.0 meV/atom.

Lattice parameters (Å, degrees): 5.251 5.251 3.534 90.00 90.00 120.00
Fractional coordinates of all 3 atoms:
Gd  0.000  0.000  0.000
Tm  0.333  0.667  0.444
Cd  0.667  0.333  0.661

=====

Entry 14:
Entry from Alexandria: crystalline Gd2TmCd at its relaxed geometry (PBE).

The spin magnetization is 3.76 μB/atom. The space group is P4/mmm, No. 123. The relative energy among the computed polymorphs comes out at 0.0 meV/atom.

Lattice parameters (Å, degrees): 3.598 3.598 9.080 90.00 90.00 90.00
Fractional coordinates of all 4 atoms:
Gd  0.000  0.000  0.231
Gd  0.000  0.000  0.769
Tm  0.500  0.500  0.500
Cd  0.500  0.500  0.000

=====

Entry 15:
Entry from Alexandria: crystalline Gd2TmCd at its relaxed geometry (PBE).

The spin magnetization is 3.76 μB/atom. The space group is Fm-3m, No. 225. The relative energy among the computed polymorphs comes out at 86.1 meV/atom.

Lattice parameters (Å, degrees): 7.708 7.708 7.708 90.00 90.00 90.00
Fractional coordinates of all 16 atoms:
Gd  0.250  0.250  0.250
Gd  0.250  0.250  0.750
Gd  0.250  0.750  0.250
Gd  0.250  0.750  0.750
Gd  0.750  0.250  0.250
Gd  0.750  0.250  0.750
Gd  0.750  0.750  0.250
Gd  0.750  0.750  0.750
Tm  0.000  0.000  0.000
Tm  0.000  0.500  0.500
Tm  0.500  0.000  0.500
Tm  0.500  0.500  0.000
Cd  0.000  0.000  0.500
Cd  0.000  0.500  0.000
Cd  0.500  0.000  0.000
Cd  0.500  0.500  0.500

=====

Entry 16:
Entry from Alexandria: crystalline Gd2TmCd at its relaxed geometry (PBE).

The spin magnetization is 3.67 μB/atom. The space group is R-3m, No. 166. The relative energy among the computed polymorphs comes out at 297.5 meV/atom.

Lattice parameters (Å, degrees): 3.463 3.463 36.346 90.00 90.00 120.00
Fractional coordinates of all 12 atoms:
Gd  0.000  0.000  0.089
Gd  0.000  0.000  0.911
Gd  0.333  0.667  0.577
Gd  0.333  0.667  0.756
Gd  0.667  0.333  0.244
Gd  0.667  0.333  0.423
Tm  0.000  0.000  0.500
Tm  0.333  0.667  0.167
Tm  0.667  0.333  0.833
Cd  0.000  0.000  0.000
Cd  0.333  0.667  0.667
Cd  0.667  0.333  0.333

=====

Entry 17:
Entry from Alexandria: crystalline GdTmCd4 at its relaxed geometry (PBE).

The spin magnetization is 1.25 μB/atom. The space group is F-43m, No. 216.

Lattice parameters (Å, degrees): 5.905 5.905 5.905 60.00 60.00 60.00
Fractional coordinates of all 6 atoms:
Gd  0.000  0.000  0.000
Tm  0.250  0.250  0.250
Cd  0.125  0.625  0.625
Cd  0.625  0.125  0.625
Cd  0.625  0.625  0.125
Cd  0.625  0.625  0.625

=====

Entry 18:
Entry from Alexandria: crystalline GdTmZnCd at its relaxed geometry (PBE).

The spin magnetization is 1.92 μB/atom. The space group is F-43m, No. 216.

Lattice parameters (Å, degrees): 7.317 7.317 7.317 90.00 90.00 90.00
Fractional coordinates of all 16 atoms:
Gd  0.000  0.000  0.000
Gd  0.000  0.500  0.500
Gd  0.500  0.000  0.500
Gd  0.500  0.500  0.000
Tm  0.000  0.000  0.500
Tm  0.000  0.500  0.000
Tm  0.500  0.000  0.000
Tm  0.500  0.500  0.500
Zn  0.250  0.250  0.250
Zn  0.250  0.750  0.750
Zn  0.750  0.250  0.750
Zn  0.750  0.750  0.250
Cd  0.250  0.250  0.750
Cd  0.250  0.750  0.250
Cd  0.750  0.250  0.250
Cd  0.750  0.750  0.750

=====

Entry 19:
Entry from Alexandria: crystalline GdYCd at its relaxed geometry (PBE).

The spin magnetization is 2.72 μB/atom. The space group is I4mm, No. 107. The relative energy among the computed polymorphs comes out at 0.0 meV/atom.

Lattice parameters (Å, degrees): 3.649 3.649 13.016 90.00 90.00 90.00
Fractional coordinates of all 6 atoms:
Gd  0.000  0.000  0.000
Gd  0.500  0.500  0.500
Y  0.000  0.000  0.690
Y  0.500  0.500  0.190
Cd  0.000  0.000  0.342
Cd  0.500  0.500  0.842

=====

Entry 20:
Entry from Alexandria: crystalline Gd2YCd at its relaxed geometry (PBE).

The spin magnetization is 3.93 μB/atom. The space group is P4/mmm, No. 123. The relative energy among the computed polymorphs comes out at 29.0 meV/atom.

Lattice parameters (Å, degrees): 4.865 4.865 4.934 90.00 90.00 90.00
Fractional coordinates of all 4 atoms:
Gd  0.000  0.500  0.000
Gd  0.500  0.000  0.000
Y  0.000  0.000  0.500
Cd  0.500  0.500  0.500

=====

Number 1: formation energy -21 kJ/mol of formula units, Fermi-level density of states 4.676 states/eV/f.u.. Number 2: formation energy -77 kJ/mol of formula units, Fermi-level density of states 4.197 states/eV/f.u.. Number 3: formation energy -71 kJ/mol of formula units, Fermi-level density of states 3.743 states/eV/f.u.. Number 4: formation energy -22 kJ/mol of formula units, Fermi-level density of states 4.300 states/eV/f.u.. Number 5: formation energy 18 kJ/mol of formula units, Fermi-level density of states 6.697 states/eV/f.u.. Number 6: formation energy -27 kJ/mol of formula units, Fermi-level density of states 3.159 states/eV/f.u.. Number 7: formation energy -65 kJ/mol of formula units, Fermi-level density of states 6.126 states/eV/f.u.. Number 8: formation energy -133 kJ/mol of formula units, Fermi-level density of states 3.914 states/eV/f.u.. Number 9: formation energy -146 kJ/mol of formula units, Fermi-level density of states 3.736 states/eV/f.u.. Number 10: formation energy -54 kJ/mol of formula units, Fermi-level density of states 2.890 states/eV/f.u.. Number 11: formation energy 83 kJ/mol of formula units, Fermi-level density of states 4.307 states/eV/f.u.. Number 12: formation energy -30 kJ/mol of formula units, Fermi-level density of states 5.872 states/eV/f.u.. Number 13: formation energy -23 kJ/mol of formula units, Fermi-level density of states 3.433 states/eV/f.u.. Number 14: formation energy -54 kJ/mol of formula units, Fermi-level density of states 6.154 states/eV/f.u.. Number 15: formation energy -21 kJ/mol of formula units, Fermi-level density of states 4.760 states/eV/f.u.. Number 16: formation energy 61 kJ/mol of formula units, Fermi-level density of states 5.191 states/eV/f.u.. Number 17: formation energy -144 kJ/mol of formula units, Fermi-level density of states 5.828 states/eV/f.u.. Number 18: formation energy -122 kJ/mol of formula units, Fermi-level density of states 2.960 states/eV/f.u.. Number 19: formation energy -64 kJ/mol of formula units, Fermi-level density of states 3.170 states/eV/f.u.. Number 20: formation energy -44 kJ/mol of formula units, Fermi-level density of states 5.486 states/eV/f.u..